[1]
# Ac2TbCu2O6 | the Alexandria database | PBE | optimized geometry
# Formation energy from raw total energies in kJ/mol of atoms: -214
# Volume in Å³/cell: 532
data_Ac2TbCu2O6
_symmetry_space_group_name_H-M 'R -3 m'
_symmetry_Int_Tables_number 166
_symmetry_space_group_name_Hall '-R 3 2"'
_cell_length_a 6.0131
_cell_length_b 6.0131
_cell_length_c 16.9969
_cell_angle_alpha 90.00
_cell_angle_beta 90.00
_cell_angle_gamma 120.00
loop_
_atom_site_label
_atom_site_fract_x
_atom_site_fract_y
_atom_site_fract_z
Ac1 0.0000 0.0000 0.2073
Tb1 0.0000 0.0000 0.0000
Cu1 0.0000 0.0000 0.4221
O1 0.0294 0.5147 0.7621

***

[2]
# CsSc3Mn | the Alexandria database | PBE | optimized geometry
# Calculated formation energy in eV per atom: 1.63
# Volume in Å³/cell: 143
data_CsSc3Mn
_symmetry_space_group_name_H-M 'P m -3 m'
_symmetry_Int_Tables_number 221
_symmetry_space_group_name_Hall '-P 4 2 3'
_cell_length_a 5.233
_cell_length_b 5.233
_cell_length_c 5.233
_cell_angle_alpha 90.00
_cell_angle_beta 90.00
_cell_angle_gamma 90.00
loop_
_atom_site_label
_atom_site_fract_x
_atom_site_fract_y
_atom_site_fract_z
Cs1 0.000 0.000 0.000
Sc1 0.000 0.000 0.500
Mn1 0.500 0.500 0.500